(1)
First-principles (GGA-PBE) data for a geometry-optimized GdZnW structure, as listed in OQMD.

Unit cell a=4.5152 b=4.5152 c=4.5152 alpha=60.00 beta=60.00 gamma=60.00
With the nearest neighbours (Å) after each atom.
Fractional positions:
Gd 0.0000 0.0000 0.0000  4 Zn 2.76
Zn 0.2500 0.2500 0.2500  4 Gd 2.76, 4 W 2.76
W 0.5000 0.5000 0.5000  4 Zn 2.76

Calculated values
- density (g/cm3) = 10.370
- energy relative to the elements (eV per atom) = 0.824

(2)
First-principles (GGA-PBE) data for a geometry-optimized LuMgCuBi structure, as listed in OQMD.

Unit cell a=5.0766 b=5.0766 c=5.0766 alpha=60.00 beta=60.00 gamma=60.00
With the nearest neighbours (Å) after each atom.
Fractional positions:
Lu 0.0000 0.0000 0.0000  4 Mg 3.11, 4 Bi 3.11
Mg 0.7500 0.7500 0.7500  4 Cu 3.11, 4 Lu 3.11
Cu 0.5000 0.5000 0.5000  4 Mg 3.11, 4 Bi 3.11
Bi 0.2500 0.2500 0.2500  4 Cu 3.11, 4 Lu 3.11

Calculated values
- polymorph energy (0 for the lowest one) (meV per atom) = 59.9
- density (g/cm3) = 8.468

(3)
First-principles (GGA-PBE) data for a geometry-optimized Li2CoW structure, as listed in OQMD.

Unit cell a=4.0812 b=4.0812 c=4.0812 alpha=60.00 beta=60.00 gamma=60.00
With the nearest neighbours (Å) after each atom.
Fractional positions:
Li 0.0000 0.0000 0.0000  4 Li 2.50, 4 Co 2.50
Li 0.2500 0.2500 0.2500  4 W 2.50, 4 Li 2.50
Co 0.7500 0.7500 0.7500  4 W 2.50, 4 Li 2.50
W 0.5000 0.5000 0.5000  4 Co 2.50, 4 Li 2.50

Calculated values
- density (g/cm3) = 8.866

(4)
First-principles (GGA-PBE) data for a geometry-optimized Ta2Br structure, as listed in OQMD.

Unit cell a=5.6485 b=5.6485 c=5.6485 alpha=60.00 beta=60.00 gamma=60.00
With the nearest neighbours (Å) after each atom.
Fractional positions:
Ta 0.0000 0.0000 0.0000  6 Ta 2.82
Ta 0.0000 0.0000 0.5000  6 Ta 2.82
Ta 0.0000 0.5000 0.0000  6 Ta 2.82
Ta 0.5000 0.0000 0.0000  6 Ta 2.82
Br 0.3750 0.3750 0.3750  12 Ta 3.31, 4 Br 3.46
Br 0.6250 0.6250 0.6250  12 Ta 3.31, 4 Br 3.46

Calculated values
- polymorph energy (0 for the lowest one) (meV per atom) = 0.0
- density (g/cm3) = 11.514

Calculated values (eV per atom) of total DFT energy (no corrections) for the records, taken in order: -5.47, -3.39, -5.58, -7.33.